A relaxed structure of FePt4Rh, computed with PBE-GGA.

Summary:
For the energy relative to the elements, the calculation gives -98 meV/atom. As for the crystal system: triclinic. As for the calculated total energy: -6.76 eV/atom. The energy relative to the lowest polymorph listed for this composition comes out at 0 meV/atom.

Lattice parameters (Å, degrees): 5.339 5.518 7.102 67.56 70.21 76.00
Space group P-1 (No. 2)
Inequivalent atoms, fractional coordinates:
Fe (0.223, 0.301, 0.030)
Pt (0.112, 0.529, 0.645)
Pt (0.219, 0.803, 0.026)
Pt (0.443, 0.864, 0.302)
Pt (0.444, 0.365, 0.296)
Rh (0.103, 0.025, 0.644)